Sc2OsCl: single point on PBEsol structure, SCAN.

Structure (POSCAR):
```
Sc2OsCl
1.0
3.154 0.000 0.000
0.000 3.228 0.029
0.000 -0.081 7.445
Sc Os Cl
2 1 1
Direct
0.000 0.001 0.208
0.000 0.999 0.792
0.500 0.500 0.000
0.500 0.000 0.500
```

Space group = P2/m
Raw formation energy = -110 kJ per mole of atoms
Uncorrected energy = -28.224 eV/atom
Size of the total moment = 0.001 μB per cell
Energy above the most stable polymorph in this dataset = 0 meV/atom


GaRe2Tc: single point on PBEsol structure, SCAN.

Structure (POSCAR):
```
GaRe2Tc
1.0
-3.785 -1.890 -0.893
-0.445 -4.276 0.468
-2.435 -1.583 3.204
Tc Re Ga
1 2 1
Direct
0.500 0.500 0.500
0.750 0.750 0.750
0.250 0.250 0.250
0.000 0.000 0.000
```

Space group = Fm-3m
Uncorrected energy = -48.189 eV/atom
Formation enthalpy at 0 K = 212 meV/atom
Size of the total moment = 0.000 μB per cell


TcTeRh2: single point on PBEsol structure, SCAN.

Structure (POSCAR):
```
TcTeRh2
1.0
-2.318 -0.219 3.125
-2.701 -1.829 -2.131
1.617 -3.500 0.955
Tc Rh Te
1 2 1
Direct
0.500 0.500 0.500
0.500 0.000 0.000
0.000 0.500 0.000
0.000 0.000 0.500
```

Space group = P4/mmm
Raw formation energy = 10 kJ per mole of atoms
Uncorrected energy = -34.855 eV/atom
Size of the total moment = 0.000 μB per cell


Sc2InSe: single point on PBEsol structure, SCAN.

Structure (POSCAR):
```
Sc2InSe
1.0
-0.503 -1.772 -2.868
-2.731 -2.963 2.957
-3.400 3.541 -0.942
Se Sc In
1 2 1
Direct
0.500 0.500 0.500
0.000 0.500 0.000
0.000 0.000 0.500
0.500 0.000 0.000
```

Space group = C2/m
Raw formation energy = -75 kJ per mole of atoms
Uncorrected energy = -21.265 eV/atom
Size of the total moment = 0.001 μB per cell
Energy above the most stable polymorph in this dataset = 347 meV/atom


Li3V2FeO6: single point on PBEsol structure, SCAN.

Structure (POSCAR):
```
Li3V2FeO6
1.0
2.753 0.000 0.000
0.000 5.786 -0.187
-1.376 -1.695 6.170
O Li V Fe
6 3 2 1
Direct
0.161 0.094 0.323
0.511 0.736 0.021
0.159 0.606 0.318
0.841 0.394 0.682
0.839 0.906 0.677
0.489 0.264 0.979
0.000 0.000 0.000
0.659 0.348 0.318
0.341 0.652 0.682
0.322 0.137 0.643
0.678 0.863 0.357
0.000 0.500 0.000
```

Space group = C2/m
Raw formation energy = -222 kJ per mole of atoms
Uncorrected energy = -10.443 eV/atom
Size of the total moment = 1.714 μB per cell


AgCBr2: single point on PBEsol structure, SCAN.

Structure (POSCAR):
```
AgCBr2
1.0
3.314 0.000 0.000
1.657 2.870 0.000
1.657 0.957 8.650
Br Ag C
2 1 1
Direct
0.889 0.889 0.333
0.111 0.111 0.667
0.000 0.000 0.000
0.500 0.500 0.500
```

Space group = R-3m
Raw formation energy = 140 kJ per mole of atoms
Uncorrected energy = -18.650 eV/atom
Size of the total moment = 0.000 μB per cell


FePOs2: single point on PBEsol structure, SCAN.

Structure (POSCAR):
```
FePOs2
1.0
-1.211 2.131 -1.152
-0.215 0.141 -2.696
-7.352 -2.961 -0.929
Fe Os P
1 2 1
Direct
0.242 0.242 0.275
0.757 0.757 0.729
0.996 0.996 0.011
0.505 0.505 0.485
```

Space group = R3m
Uncorrected energy = -42.900 eV/atom
Formation enthalpy at 0 K = 172 meV/atom
Size of the total moment = 0.001 μB per cell


Ta3ZnS: single point on PBEsol structure, SCAN.

Structure (POSCAR):
```
Ta3ZnS
1.0
4.498 0.000 0.000
0.000 4.498 0.000
0.000 0.000 4.498
Ta S Zn
3 1 1
Direct
0.000 0.500 0.000
0.000 0.000 0.500
0.500 0.000 0.000
0.000 0.000 0.000
0.500 0.500 0.500
```

Space group = Pm-3m
Raw formation energy = 47 kJ per mole of atoms
Uncorrected energy = -44.093 eV/atom
Size of the total moment = 0.001 μB per cell


ZrNiP2: single point on PBEsol structure, SCAN.

Structure (POSCAR):
```
ZrNiP2
1.0
-2.574 0.740 3.425
-4.317 0.115 -0.509
-2.464 -3.205 1.600
Ni Zr P
1 1 2
Direct
0.500 0.500 0.500
0.250 0.250 0.250
0.000 0.000 0.000
0.750 0.750 0.750
```

Space group = F-43m
Uncorrected energy = -17.016 eV/atom
Formation enthalpy at 0 K = -99 meV/atom
Size of the total moment = 0.000 μB per cell


Zr2ScAl: single point on PBEsol structure, SCAN.

Structure (POSCAR):
```
Zr2ScAl
1.0
-1.598 1.974 -1.830
-2.616 -1.639 0.516
-1.708 4.837 6.710
Sc Al Zr
1 1 2
Direct
0.500 0.500 0.733
0.000 0.000 0.500
0.000 0.000 0.999
0.500 0.500 0.269
```

Space group = P4mm
Uncorrected energy = -21.065 eV/atom
Formation enthalpy at 0 K = -219 meV/atom
Size of the total moment = 0.032 μB per cell


As2PbAu2: single point on PBEsol structure, SCAN.

Structure (POSCAR):
```
As2PbAu2
1.0
4.167 0.000 0.000
0.000 4.167 0.000
-2.084 -2.084 6.109
As Au Pb
2 2 1
Direct
0.750 0.250 0.500
0.250 0.750 0.500
0.391 0.391 0.782
0.609 0.609 0.218
0.000 0.000 0.000
```

Space group = I4/mmm
Uncorrected energy = -50.841 eV/atom
Formation enthalpy at 0 K = 54 meV/atom
Size of the total moment = 0.000 μB per cell


MgReTe2: single point on PBEsol structure, SCAN.

Structure (POSCAR):
```
MgReTe2
1.0
-1.478 1.829 -2.276
-0.607 -2.688 -1.766
-6.761 -0.888 3.678
Mg Te Re
1 2 1
Direct
0.500 0.500 0.000
0.000 0.000 0.715
0.000 0.000 0.285
0.500 0.500 0.500
```

Space group = P4/mmm
Raw formation energy = 38 kJ per mole of atoms
Uncorrected energy = -37.253 eV/atom
Size of the total moment = 0.000 μB per cell


LiCuPO4: single point on PBEsol structure, SCAN.

Structure (POSCAR):
```
LiCuPO4
1.0
4.850 0.708 -0.035
0.570 4.868 -0.035
-0.203 -0.209 15.482
O Li P Cu
16 4 4 4
Direct
0.147 0.076 0.145
0.924 0.853 0.355
0.076 0.147 0.645
0.105 0.603 0.196
0.853 0.924 0.855
0.832 0.333 0.961
0.333 0.832 0.461
0.578 0.644 0.145
0.168 0.667 0.039
0.397 0.895 0.304
0.895 0.397 0.804
0.603 0.105 0.696
0.667 0.168 0.539
0.356 0.422 0.355
0.644 0.578 0.645
0.422 0.356 0.855
0.594 0.092 0.424
0.092 0.594 0.924
0.406 0.908 0.576
0.908 0.406 0.076
0.745 0.247 0.873
0.255 0.753 0.127
0.753 0.255 0.627
0.247 0.745 0.373
0.751 0.749 0.250
0.249 0.251 0.750
0.749 0.751 0.750
0.251 0.249 0.250
```

Space group = C2/c
Raw formation energy = -199 kJ per mole of atoms
Uncorrected energy = -9.619 eV/atom
Size of the total moment = 4.000 μB per cell
Energy above the most stable polymorph in this dataset = 5 meV/atom


HoCu2: single point on PBEsol structure, SCAN.

Structure (POSCAR):
```
HoCu2
1.0
4.225 0.000 0.000
2.113 4.877 0.037
2.113 0.366 4.863
Cu Ho
4 2
Direct
0.835 0.112 0.217
0.835 0.717 0.612
0.165 0.283 0.388
0.165 0.888 0.783
0.546 0.704 0.204
0.454 0.296 0.796
```

Space group = Imma
Uncorrected energy = -26.777 eV/atom
Formation enthalpy at 0 K = -314 meV/atom
Size of the total moment = 0.000 μB per cell


CrSb2TeBr: single point on PBEsol structure, SCAN.

Structure (POSCAR):
```
CrSb2TeBr
1.0
5.439 0.000 0.000
0.000 5.439 0.000
0.000 0.000 5.375
Sb Br Te Cr
2 1 1 1
Direct
0.500 0.000 0.000
0.000 0.500 0.000
0.000 0.000 0.000
0.000 0.000 0.500
0.500 0.500 0.500
```

Space group = P4/mmm
Raw formation energy = 110 kJ per mole of atoms
Uncorrected energy = -28.778 eV/atom
Size of the total moment = 3.338 μB per cell


Na2AgAs2: single point on PBEsol structure, SCAN.

Structure (POSCAR):
```
Na2AgAs2
1.0
-2.898 0.317 -3.676
4.067 -4.012 -3.552
-3.383 -5.381 2.204
Na Ag As
4 2 4
Direct
0.500 0.672 0.828
0.500 0.328 0.172
0.500 0.172 0.672
0.500 0.828 0.328
0.000 0.500 0.500
0.000 0.000 0.000
0.000 0.631 0.131
0.000 0.869 0.631
0.000 0.369 0.869
0.000 0.131 0.369
```

Space group = P4/mbm
Uncorrected energy = -16.399 eV/atom
Formation enthalpy at 0 K = -363 meV/atom
Size of the total moment = 0.000 μB per cell


EuMgTl2: single point on PBEsol structure, SCAN.

Structure (POSCAR):
```
EuMgTl2
1.0
5.268 0.000 0.000
2.634 4.562 0.000
2.634 1.521 4.302
Tl Eu Mg
2 1 1
Direct
0.250 0.250 0.250
0.750 0.750 0.750
0.500 0.500 0.500
0.000 0.000 0.000
```

Space group = Fm-3m
Uncorrected energy = -51.311 eV/atom
Formation enthalpy at 0 K = -460 meV/atom
Size of the total moment = 6.970 μB per cell


CuOsBr2: single point on PBEsol structure, SCAN.

Structure (POSCAR):
```
CuOsBr2
1.0
-2.789 -0.268 0.938
0.632 -0.652 -2.962
1.633 -8.919 2.312
Cu Br Os
1 2 1
Direct
0.000 0.000 0.515
0.000 0.000 0.946
0.500 0.000 0.307
0.500 0.000 0.732
```

Space group = Cmm2
Raw formation energy = 73 kJ per mole of atoms
Uncorrected energy = -30.738 eV/atom
Size of the total moment = 0.000 μB per cell
Energy above the most stable polymorph in this dataset = 0 meV/atom


TaMoW2: single point on PBEsol structure, SCAN.

Structure (POSCAR):
```
TaMoW2
1.0
-1.450 1.650 -1.666
-1.708 -1.390 1.659
0.527 6.563 6.042
W Ta Mo
2 1 1
Direct
0.500 0.500 0.749
0.000 0.000 0.995
0.500 0.500 0.251
0.000 0.000 0.505
```

Space group = Cmm2
Uncorrected energy = -60.283 eV/atom
Formation enthalpy at 0 K = -72 meV/atom
Size of the total moment = 0.000 μB per cell
Energy above the most stable polymorph in this dataset = 53 meV/atom


CuMoP3: single point on PBEsol structure, SCAN.

Structure (POSCAR):
```
CuMoP3
1.0
-0.554 3.591 2.836
-3.225 -2.333 2.324
3.246 -1.705 2.793
Cu P Mo
1 3 1
Direct
0.500 0.500 0.500
0.000 0.000 0.500
0.000 0.500 0.000
0.500 0.000 0.000
0.000 0.000 0.000
```

Space group = Pm-3m
Uncorrected energy = -15.413 eV/atom
Formation enthalpy at 0 K = 843 meV/atom
Size of the total moment = 0.000 μB per cell